Density functional theory data (GGA+U) for a relaxed structure of Co3C2Se2O10.

Properties
Volume ... 12.8 Å³/atom
E ... -6.336 eV per atom

Geometry as POSCAR:
```
Co3C2Se2O10
1.0
4.651 -3.314 0.000
4.651 3.314 0.000
-3.685 0.000 7.033
Co C Se O
3 2 2 10
Direct
0.000 0.000 0.000
0.308 0.308 0.820
0.692 0.692 0.180
0.043 0.043 0.436
0.957 0.957 0.564
0.342 0.342 0.258
0.658 0.658 0.742
0.007 0.383 0.153
0.050 0.050 0.743
0.196 0.196 0.519
0.383 0.007 0.153
0.441 0.441 0.121
0.559 0.559 0.879
0.617 0.993 0.847
0.804 0.804 0.481
0.950 0.950 0.257
0.993 0.617 0.847
```

***

Density functional theory data (GGA+U) for a relaxed structure of Rb3Pm2NiO6.

Properties
Volume ... 17.1 Å³/atom
E ... -5.621 eV per atom

Geometry as POSCAR:
```
Rb3Pm2NiO6
1.0
3.004 -5.238 0.000
3.004 5.238 0.000
-1.987 0.000 6.528
Rb Pm Ni O
3 2 1 6
Direct
0.000 0.000 0.000
0.338 0.662 0.000
0.662 0.338 0.000
0.168 0.832 0.500
0.832 0.168 0.500
0.500 0.500 0.500
0.129 0.441 0.321
0.258 0.258 0.670
0.441 0.129 0.321
0.559 0.871 0.679
0.742 0.742 0.330
0.871 0.559 0.679
```

***

Please write out number 2 again, unchanged.
Density functional theory data (GGA+U) for a relaxed structure of Rb3Pm2NiO6.

Properties
Volume ... 17.1 Å³/atom
E ... -5.621 eV per atom

Geometry as POSCAR:
```
Rb3Pm2NiO6
1.0
3.004 -5.238 0.000
3.004 5.238 0.000
-1.987 0.000 6.528
Rb Pm Ni O
3 2 1 6
Direct
0.000 0.000 0.000
0.338 0.662 0.000
0.662 0.338 0.000
0.168 0.832 0.500
0.832 0.168 0.500
0.500 0.500 0.500
0.129 0.441 0.321
0.258 0.258 0.670
0.441 0.129 0.321
0.559 0.871 0.679
0.742 0.742 0.330
0.871 0.559 0.679
```

***

The lowest E belongs to which entry?
Co3C2Se2O10